(1)
This record from Alexandria via LeMat-Bulk describes an optimized crystal structure of RuSBrN2. The functional is PBE.

Cell: 3.7900 3.7900 5.3754 Å, 90.00 90.00 90.00°
With the nearest neighbours (Å) after each atom.
Atoms (fractional coordinates):
Ru 0.0000 0.0000 0.0000  4 N 1.90
S 0.0000 0.0000 0.5000  4 Br 2.68, 2 Ru 2.69
Br 0.5000 0.5000 0.5000  4 S 2.68
N 0.0000 0.5000 0.0000  2 Ru 1.90
N 0.5000 0.0000 0.0000  2 Ru 1.90

Properties
The total magnetization comes out at 0.04 μB/cell.


(2)
This record from Alexandria via LeMat-Bulk describes an optimized crystal structure of RuSBrN2. The functional is PBE.

Cell: 3.6688 3.6688 6.8758 Å, 90.00 90.00 90.00°
With the nearest neighbours (Å) after each atom.
Atoms (fractional coordinates):
Ru 0.0000 0.0000 0.0000  4 S 2.59
S 0.5000 0.5000 0.0000  4 Ru 2.59
Br 0.5000 0.5000 0.5000  4 N 1.83
N 0.0000 0.5000 0.5000  2 Br 1.83
N 0.5000 0.0000 0.5000  2 Br 1.83

Properties
The total magnetization comes out at 3.06 μB/cell.


(3)
This record from Alexandria via LeMat-Bulk describes an optimized crystal structure of RuSeBrN2. The functional is PBE.

Cell: 3.8309 3.8309 5.5665 Å, 90.00 90.00 90.00°
With the nearest neighbours (Å) after each atom.
Atoms (fractional coordinates):
Ru 0.0000 0.0000 0.0000  4 N 1.92
Se 0.0000 0.0000 0.5000  4 Br 2.71, 2 Ru 2.78
Br 0.5000 0.5000 0.5000  4 Se 2.71
N 0.0000 0.5000 0.0000  2 Ru 1.92
N 0.5000 0.0000 0.0000  2 Ru 1.92

Properties
The total magnetization comes out at 0.20 μB/cell.


The records above give, respectively, energy relative to the lowest polymorph listed for this composition values of 0.0; 1489.2; 0.0 meV per atom.
The records above give, respectively, calculated total energy values of -5.42; -3.93; -5.38 eV/atom.